Ac2AuO5: relaxed, GGA-PBE.

Calculated values
The calculation puts the total energy at -6.66 eV/atom. As for the symmetry: C2/c (15). The uncorrected formation energy is -2121 meV/atom. The calculation puts the density of states at the Fermi level at 1.54 states/eV/f.u.

a b c (Å): 6.971 6.971 7.073
angles (deg): 98.53 98.53 51.17
Sites, in units of the cell vectors:
Ac  0.140  0.661  0.934
Ac  0.339  0.860  0.566
Ac  0.661  0.140  0.434
Ac  0.860  0.339  0.066
Au  0.000  0.500  0.500
Au  0.500  0.000  0.000
O  0.057  0.943  0.250
O  0.180  0.249  0.852
O  0.249  0.180  0.352
O  0.276  0.532  0.581
O  0.468  0.724  0.919
O  0.532  0.276  0.081
O  0.724  0.468  0.419
O  0.751  0.820  0.648
O  0.820  0.751  0.148
O  0.943  0.057  0.750